Entry 1:
Below is a relaxed structure of KCaMo2F, with properties calculated at the PBEsol level.

Unit cell a=4.433 b=5.995 c=5.995 alpha=90.00 beta=90.00 gamma=90.00
Last column: magnetic moment on the atom in μB.
Atoms (fractional coordinates):
Ca 0.500 0.500 0.500  0.04
F 0.500 0.000 0.000  0.05
K 0.000 0.000 0.000  0.09
Mo 0.000 0.500 0.000  4.01
Mo 0.000 0.000 0.500  4.01

Summary:
The calculation puts the formation energy (no corrections) at 1.59 eV/atom. For the magnetic moment, the calculation gives 2.0234 μB per atom.


Entry 2:
Below is a relaxed structure of Na2Ge2Pt, with properties calculated at the PBEsol level.

Unit cell a=4.896 b=6.373 c=6.373 alpha=90.00 beta=90.00 gamma=90.00
Atoms (fractional coordinates):
Na 0.500 0.681 0.819
Pt 0.000 0.000 0.000
Pt 0.000 0.500 0.500
Na 0.500 0.319 0.181
Ge 0.000 0.864 0.636
Ge 0.000 0.364 0.864
Na 0.500 0.181 0.681
Ge 0.000 0.636 0.136
Na 0.500 0.819 0.319
Ge 0.000 0.136 0.364

Summary:
For the magnetic moment, the calculation gives 0.0000 μB per atom. The energy relative to the elements comes out at -345 meV per atom.


Entry 3:
Below is a relaxed structure of Be2InPt, with properties calculated at the PBEsol level.

Unit cell a=3.706 b=3.706 c=4.665 alpha=113.40 beta=113.40 gamma=90.00
Atoms (fractional coordinates):
Be 0.750 0.250 0.500
In 0.500 0.500 0.000
Pt 0.250 0.750 0.500
Be 0.000 0.000 0.000

Summary:
For the magnetic moment, the calculation gives 0.0000 μB per atom. The energy relative to the elements comes out at -115 meV per atom.


Entry 4:
Below is a relaxed structure of SmLuIn2, with properties calculated at the PBEsol level.

Unit cell a=5.226 b=5.226 c=5.226 alpha=60.00 beta=60.00 gamma=60.00
Atoms (fractional coordinates):
In 0.750 0.750 0.750
In 0.250 0.250 0.250
Sm 0.000 0.000 0.000
Lu 0.500 0.500 0.500

Summary:
For the magnetic moment, the calculation gives 0.0000 μB per atom. The energy relative to the elements comes out at -490 meV per atom.


Entry 5:
Below is a relaxed structure of Li2NiAu, with properties calculated at the PBEsol level.

Unit cell a=3.682 b=3.682 c=3.795 alpha=90.00 beta=90.00 gamma=90.00
Atoms (fractional coordinates):
Li 0.000 0.500 0.000
Ni 0.500 0.500 0.500
Li 0.500 0.000 0.000
Au 0.000 0.000 0.500

Summary:
For the magnetic moment, the calculation gives 0.0001 μB per atom. The energy relative to the elements comes out at -219 meV per atom.


Entry 6:
Below is a relaxed structure of SbOsBr2, with properties calculated at the PBEsol level.

Unit cell a=3.155 b=3.155 c=8.780 alpha=90.00 beta=90.00 gamma=89.99
Atoms (fractional coordinates):
Os 0.000 0.000 0.488
Sb 0.500 0.500 0.303
Br 0.000 0.000 0.023
Br 0.500 0.500 0.685

Summary:
The calculation puts the formation energy (no corrections) at 0.48 eV/atom. For the magnetic moment, the calculation gives 0.0004 μB per atom. The energy above the most stable polymorph in this dataset is 0.000 eV/f.u.


Entry 7:
Below is a relaxed structure of RbInS3, with properties calculated at the PBEsol level.

Unit cell a=5.758 b=5.758 c=5.758 alpha=90.00 beta=90.00 gamma=90.00
Last column: magnetic moment on the atom in μB.
Atoms (fractional coordinates):
In 0.500 0.500 0.500  0.00
S 0.500 0.000 0.000  0.79
S 0.000 0.000 0.500  0.79
Rb 0.000 0.000 0.000  0.10
S 0.000 0.500 0.000  0.79

Summary:
The calculation puts the formation energy (no corrections) at 0.99 eV/atom. For the magnetic moment, the calculation gives 0.8049 μB per atom.


Entry 8:
Below is a relaxed structure of ZrFe2TeI, with properties calculated at the PBEsol level.

Unit cell a=5.038 b=5.038 c=5.376 alpha=90.00 beta=90.00 gamma=90.00
Last column: magnetic moment on the atom in μB.
Atoms (fractional coordinates):
I 0.500 0.500 0.500  0.17
Fe 0.500 0.000 0.000  2.97
Fe 0.000 0.500 0.000  2.97
Zr 0.000 0.000 0.000  -0.47
Te 0.000 0.000 0.500  0.18

Summary:
The calculation puts the formation energy (no corrections) at 1.23 eV/atom. For the magnetic moment, the calculation gives 1.2433 μB per atom.


> Which value of magnetic moment does entry 4 give?

0.0000 μB per atom